Entry from Alexandria via LeMat-Bulk: a relaxed La4Ge2Br crystal (GGA-PBE).

Calculated values
M_tot	0.00	μB/f.u.
raw formation energy	-0.947	eV per atom
final energy	-5.32	eV per atom

abc: 8.0805 8.0805 8.0805
angles: 110.29 107.85 110.29
With the nearest neighbours (Å) after each atom.
Fractional positions:
1 Ge 0.3750 0.8778 0.7528  8 La 3.03-3.34
2 La 0.6052 0.7411 0.5007  4 Ge 3.03-3.34, 1 Br 3.09, 1 La 3.37
3 La 0.4993 0.1045 0.2403  4 Ge 3.03-3.34, 1 Br 3.09, 1 La 3.37
4 La 0.6142 0.7589 0.0097  4 Ge 3.03-3.34, 1 Br 3.09, 1 La 3.37
5 Ge 0.2472 0.6222 0.1250  8 La 3.03-3.34
6 La 0.9903 0.6045 0.7493  4 Ge 3.03-3.34, 1 Br 3.09, 1 La 3.37
7 Br 0.0000 0.0000 0.0000  4 La 3.09
8 Br 0.7500 0.5000 0.2500  4 La 3.09
9 La 0.1358 0.8955 0.3948  4 Ge 3.03-3.34, 1 Br 3.09, 1 La 3.37
10 La 0.7597 0.2589 0.8642  4 Ge 3.03-3.34, 1 Br 3.09, 1 La 3.37
11 La 0.1448 0.3955 0.3858  4 Ge 3.03-3.34, 1 Br 3.09, 1 La 3.37
12 Ge 0.5028 0.3778 0.6250  8 La 3.03-3.34
13 La 0.2507 0.2411 0.8552  4 Ge 3.03-3.34, 1 Br 3.09, 1 La 3.37
14 Ge 0.8750 0.1222 0.4972  8 La 3.03-3.34



Entry from Alexandria via LeMat-Bulk: a relaxed Nb3CrB4 crystal (GGA-PBE).

Calculated values
energy of formation	-437	meV/atom
M_tot	0.00	μB/f.u.
final energy	-8.76	eV per atom

abc: 3.2640 4.7314 6.6613
angles: 110.80 104.18 90.00
With the nearest neighbours (Å) after each atom.
Fractional positions:
1 B 0.3728 0.5564 0.7456  1 B 1.74
2 B 0.6272 0.8108 0.2544  1 B 1.74
3 Nb 0.1923 0.1923 0.3847  6 B 2.34-2.35
4 B 0.6272 0.4436 0.2544  1 B 1.74
5 B 0.3728 0.1892 0.7456  1 B 1.74
6 Nb 0.8077 0.8077 0.6153  6 B 2.34-2.35
7 Nb 0.0000 0.5000 0.0000  8 B 2.40
8 Cr 0.5000 0.0000 0.0000  4 B 2.14



Entry from Alexandria via LeMat-Bulk: a relaxed AlNiP2C crystal (GGA-PBE).

Calculated values
energy of formation	-32	meV/atom
M_tot	0.00	μB/f.u.
final energy	-5.95	eV per atom
energy relative to the lowest polymorph listed for this composition	90	meV/atom

abc: 6.1085 3.0820 8.4354
angles: 90.00 90.00 90.00
With the nearest neighbours (Å) after each atom.
Fractional positions:
1 P 0.7588 0.5000 0.9163  1 C 1.82
2 Al 0.0000 0.0000 0.1870  2 C 1.97
3 P 0.7588 0.0000 0.4163  1 C 1.82
4 Ni 0.5000 0.5000 0.4565  4 P 2.23
5 C 0.0000 0.0000 0.5420  2 P 1.82, 2 Al 1.97
6 P 0.2412 0.0000 0.4163  1 C 1.82
7 Al 0.0000 0.5000 0.6870  2 C 1.97
8 C 0.0000 0.5000 0.0420  2 P 1.82, 2 Al 1.97
9 P 0.2412 0.5000 0.9163  1 C 1.82
10 Ni 0.5000 0.0000 0.9565  4 P 2.23